No. 1
An optimized crystal structure of BaTa3B. Source: Alexandria via LeMat-Bulk, functional PBE.

The structure in extended XYZ format:
```
5
Lattice="4.617 0.000 0.000 0.000 4.617 0.000 0.000 0.000 4.617" Properties=species:S:1:pos:R:3 pbc="T T T"
B 0.000 0.000 0.000
Ba 2.309 2.309 2.309
Ta 0.000 2.309 0.000
Ta 0.000 0.000 2.309
Ta 2.309 0.000 0.000
```

Output
ΔH_f (0 K) = 0.863 eV/atom
Symmetry = Pm-3m, No. 221
ΔE to the lowest computed polymorph = 0.000 eV/f.u.

No. 2
An optimized crystal structure of Ac3SnP2Rh9. Source: Alexandria via LeMat-Bulk, functional PBE.

The structure in extended XYZ format:
```
15
Lattice="-2.950 -3.297 4.335 2.939 -2.890 -4.624 7.755 -0.252 5.086" Properties=species:S:1:pos:R:3 pbc="T T T"
Ac 6.159 -3.194 1.762
Ac 0.000 0.000 0.000
Ac 1.584 -3.245 3.035
Sn 3.878 -0.126 2.543
P 2.186 -3.065 -0.844
P 5.557 -3.374 5.641
Rh 3.581 -3.417 6.640
Rh 5.159 -4.970 4.157
Rh 5.165 -1.646 4.312
Rh 2.578 -4.793 0.486
Rh 2.584 -1.470 0.641
Rh 4.163 -3.022 -1.843
Rh -1.475 -1.649 2.168
Rh 1.469 -1.445 -2.312
Rh -0.006 -3.094 -0.144
```

Output
ΔH_f (0 K) = -0.664 eV/atom
Symmetry = P-3m1, No. 164

No. 3
An optimized crystal structure of Cs3Hg2Te4. Source: Alexandria via LeMat-Bulk, functional PBE.

The structure in extended XYZ format:
```
9
Lattice="-2.054 -2.625 3.296 -1.204 -3.746 -7.069 10.471 -3.626 3.638" Properties=species:S:1:pos:R:3 pbc="T T T"
Cs 5.317 -5.125 2.566
Cs 0.000 0.000 0.000
Cs 1.895 -4.874 -2.701
Hg 1.219 -3.662 1.177
Hg 5.993 -6.337 -1.312
Te -1.095 -3.785 -0.364
Te 8.308 -6.213 0.229
Te 3.641 -7.829 -0.633
Te 3.571 -2.169 0.498
```

Output
Symmetry = C2/m, No. 12

No. 4
An optimized crystal structure of CaHfZnPt. Source: Alexandria via LeMat-Bulk, functional PBE.

The structure in extended XYZ format:
```
4
Lattice="-1.859 -4.220 -1.407 1.200 -4.055 2.316 -3.246 -2.247 2.767" Properties=species:S:1:pos:R:3 pbc="T T T"
Zn -0.976 -2.630 0.919
Hf 0.000 0.000 0.000
Ca -1.952 -5.261 1.838
Pt -2.928 -7.891 2.757
```

Output
ΔH_f (0 K) = -0.472 eV/atom
Symmetry = F-43m, No. 216

No. 5
An optimized crystal structure of Ti3GeS3. Source: Alexandria via LeMat-Bulk, functional PBE.

The structure in extended XYZ format:
```
14
Lattice="-5.569 -1.213 2.149 -4.640 -0.828 -3.859 -1.495 -9.973 -0.870" Properties=species:S:1:pos:R:3 pbc="T T T"
Ti -4.643 -2.640 -1.677
Ti -6.953 -3.190 0.659
Ti -7.794 -3.258 -2.564
Ti -3.910 -8.756 -0.016
Ti -4.750 -8.825 -3.239
Ti -7.061 -9.375 -0.903
Ge -4.898 -10.654 -1.440
Ge -6.806 -1.361 -1.140
S -7.013 -8.044 -2.774
S -5.928 -7.934 0.706
S -3.524 -7.353 -1.973
S -8.180 -4.661 -0.607
S -5.775 -4.081 -3.286
S -4.691 -3.970 0.194
```

Output
Symmetry = R-3, No. 148

No. 6
An optimized crystal structure of CsTc3Ru. Source: Alexandria via LeMat-Bulk, functional PBE.

The structure in extended XYZ format:
```
5
Lattice="-2.728 -3.899 0.356 2.262 -1.923 -3.736 3.197 -1.967 2.947" Properties=species:S:1:pos:R:3 pbc="T T T"
Cs 0.000 0.000 0.000
Ru 1.365 -3.895 -0.217
Tc 1.131 -0.961 -1.868
Tc 1.598 -0.983 1.474
Tc -1.364 -1.950 0.178
```

Output
ΔH_f (0 K) = 3.522 eV/atom
Symmetry = Pm-3m, No. 221

No. 7
An optimized crystal structure of LiDy3Zn2. Source: Alexandria via LeMat-Bulk, functional PBE.

The structure in extended XYZ format:
```
6
Lattice="-1.938 2.158 -2.139 0.444 -2.309 -2.731 -9.078 -5.232 2.946" Properties=species:S:1:pos:R:3 pbc="T T T"
Li -5.286 -2.692 -0.962
Dy 0.000 0.000 0.000
Dy -6.195 -3.571 2.011
Dy -2.883 -1.662 0.936
Zn -8.338 -4.451 0.029
Zn -2.233 -0.932 -1.953
```

Output
ΔH_f (0 K) = -0.201 eV/atom
Symmetry = P4/mmm, No. 123

No. 8
An optimized crystal structure of BaTbInS4. Source: Alexandria via LeMat-Bulk, functional PBE.

The structure in extended XYZ format:
```
14
Lattice="6.876 0.000 0.074 0.000 6.963 0.000 -2.600 0.000 8.115" Properties=species:S:1:pos:R:3 pbc="T T T"
Ba 2.746 5.222 7.738
Ba 1.530 1.741 0.450
Tb 4.286 5.222 3.705
Tb -0.011 1.741 4.484
In 0.860 5.222 2.721
In 3.416 1.741 5.468
S -1.788 3.544 5.799
S 6.064 0.062 2.390
S 6.064 3.419 2.390
S -1.788 6.900 5.799
S 2.784 5.222 1.243
S 1.492 1.741 6.945
S 1.842 5.222 4.921
S 2.434 1.741 3.268
```

Output
Symmetry = P2_1/m, No. 11

No. 9
An optimized crystal structure of K2NaMg2In5. Source: Alexandria via LeMat-Bulk, functional PBE.

The structure in extended XYZ format:
```
20
Lattice="4.018 0.000 0.000 0.000 12.163 0.000 0.000 0.000 12.163" Properties=species:S:1:pos:R:3 pbc="T T T"
K 0.000 8.218 2.137
K 0.000 3.944 10.026
K 0.000 2.137 3.944
K 0.000 10.026 8.218
Na 0.000 0.000 0.000
Na 0.000 6.081 6.081
Mg 0.000 1.551 7.633
Mg 0.000 10.611 4.530
Mg 0.000 7.633 10.611
Mg 0.000 4.530 1.551
In 2.009 2.366 0.689
In 2.009 9.796 11.474
In 2.009 0.689 9.796
In 2.009 8.448 5.392
In 2.009 11.474 2.366
In 2.009 3.715 6.770
In 2.009 6.770 8.448
In 2.009 5.392 3.715
In 2.009 6.081 0.000
In 2.009 0.000 6.081
```

Output
ΔH_f (0 K) = -0.031 eV/atom
Symmetry = P4/mbm, No. 127

No. 10
An optimized crystal structure of Sm8ErIn2. Source: Alexandria via LeMat-Bulk, functional PBE.

The structure in extended XYZ format:
```
11
Lattice="-1.023 -5.640 -0.844 5.261 0.100 7.233 -8.194 3.568 0.372" Properties=species:S:1:pos:R:3 pbc="T T T"
Sm -1.664 -2.408 6.065
Sm -4.754 -1.611 4.489
Sm -2.037 0.517 4.255
Sm 1.849 -1.973 5.332
Sm -5.806 0.000 1.429
Sm -1.920 -2.490 2.506
Sm 0.798 -0.361 2.272
Sm -2.292 0.435 0.696
Er -0.512 -2.820 -0.422
In -4.068 2.505 2.476
In 1.135 1.163 5.129
```

Output
ΔH_f (0 K) = -0.054 eV/atom
Symmetry = C2/m, No. 12

No. 11
An optimized crystal structure of Er3Tm4Pd4. Source: Alexandria via LeMat-Bulk, functional PBE.

The structure in extended XYZ format:
```
11
Lattice="3.733 0.000 0.000 0.000 8.934 0.000 -1.866 -4.467 8.031" Properties=species:S:1:pos:R:3 pbc="T T T"
Er 0.000 0.000 1.644
Er 1.866 4.467 6.388
Er 0.000 4.467 0.000
Tm 0.000 -1.662 5.393
Tm 1.866 2.805 2.638
Tm 1.866 6.129 2.638
Tm 0.000 1.662 5.393
Pd 0.000 4.467 4.058
Pd 1.866 0.000 3.974
Pd 1.866 7.200 0.000
Pd 1.866 1.734 0.000
```

Output
ΔH_f (0 K) = -0.627 eV/atom
Symmetry = Immm, No. 71

No. 12
An optimized crystal structure of La8PrCo4. Source: Alexandria via LeMat-Bulk, functional PBE.

The structure in extended XYZ format:
```
13
Lattice="-1.441 3.191 2.079 -6.652 3.792 -6.444 -8.356 -3.948 4.257" Properties=species:S:1:pos:R:3 pbc="T T T"
La -5.469 0.224 -0.147
La -7.005 3.371 -2.054
La -8.958 0.040 1.706
La -10.493 3.187 -0.200
La -10.320 5.262 -3.267
La -12.270 -0.304 -0.061
La -5.644 -1.853 2.921
La -3.692 3.715 -0.286
Pr -8.834 -2.165 5.177
Co -9.620 2.632 -2.733
Co -11.280 1.524 1.807
Co -4.682 1.887 -2.154
Co -6.343 0.778 2.386
```

Output
ΔH_f (0 K) = -0.076 eV/atom
Symmetry = C2/m, No. 12

Number 1: V 19.69 Å³/atom, calculated total energy -39.8 eV/cell. Number 2: V 20.55 Å³/atom, calculated total energy -103.3 eV/cell. Number 3: V 45.24 Å³/atom, calculated total energy -21.5 eV/cell. Number 4: V 19.81 Å³/atom, calculated total energy -21.2 eV/cell. Number 5: V 21.79 Å³/atom, calculated total energy -94.9 eV/cell. Number 6: V 21.73 Å³/atom, calculated total energy -23.6 eV/cell. Number 7: V 23.56 Å³/atom, calculated total energy -19.5 eV/cell. Number 8: V 27.84 Å³/atom, calculated total energy -72.4 eV/cell. Number 9: V 29.72 Å³/atom, calculated total energy -41.4 eV/cell. Number 10: V 32.29 Å³/atom, calculated total energy -48.4 eV/cell. Number 11: V 24.35 Å³/atom, calculated total energy -59.2 eV/cell. Number 12: V 30.47 Å³/atom, calculated total energy -73.6 eV/cell.